CoAgRh2 | the Alexandria database | GGA-PBE | optimized geometry; DOS at the Fermi energy = 6.71 states/eV/cell; E = -5.984 eV/atom; SG = No. 123; spin magnetization = 2.50 μB/cell
1.0
2.730 0.000 0.000
0.000 2.730 0.000
0.000 0.000 7.699
Co Ag Rh
1 1 2
direct
0.000 0.000 0.000
0.000 0.000 0.500
0.500 0.500 0.220
0.500 0.500 0.780

Co2AgRh2 | the Alexandria database | GGA-PBE | optimized geometry; DOS at the Fermi energy = 10.41 states/eV/cell; E = -6.152 eV/atom; SG = No. 127; spin magnetization = 10.26 μB/cell
1.0
7.234 0.000 0.000
0.000 7.234 0.000
0.000 0.000 2.702
Co Ag Rh
4 2 4
direct
0.121 0.379 0.000
0.379 0.879 0.000
0.621 0.121 0.000
0.879 0.621 0.000
0.000 0.000 0.000
0.500 0.500 0.000
0.171 0.671 0.500
0.329 0.171 0.500
0.671 0.829 0.500
0.829 0.329 0.500

CoAgRh | the Alexandria database | GGA-PBE | optimized geometry; DOS at the Fermi energy = 16.06 states/eV/cell; E = -5.191 eV/atom; SG = No. 216; spin magnetization = 11.46 μB/cell
1.0
5.828 0.000 0.000
0.000 5.828 0.000
0.000 0.000 5.828
Co Ag Rh
4 4 4
direct
0.000 0.000 0.000
0.000 0.500 0.500
0.500 0.000 0.500
0.500 0.500 0.000
0.250 0.250 0.750
0.250 0.750 0.250
0.750 0.250 0.250
0.750 0.750 0.750
0.250 0.250 0.250
0.250 0.750 0.750
0.750 0.250 0.750
0.750 0.750 0.250

CoAg3Rh | the Alexandria database | GGA-PBE | optimized geometry; DOS at the Fermi energy = 8.03 states/eV/cell; E = -3.330 eV/atom; SG = No. 221; spin magnetization = 2.53 μB/cell
1.0
4.672 0.000 0.000
0.000 4.672 0.000
0.000 0.000 4.672
Co Ag Rh
1 3 1
direct
0.000 0.000 0.000
0.000 0.000 0.500
0.000 0.500 0.000
0.500 0.000 0.000
0.500 0.500 0.500

What did we get for distance to the lowest polymorph of the same formula? Answer: 39, 0, 367, 0 meV/atom, in the order shown.
What did we get for energy of formation? Answer: 181.3, 201.5, 578.1, 1271.9 meV/atom, in the order shown.